(1)
## NaAs3O (PBE-GGA)

Data for crystalline NaAs3O at its relaxed geometry.

Calculated values
- Formation energy without anion corrections: 95 meV/atom
- D(E_F): 0.943 states/eV per atom
- V: 91 Å³ per cell
- VASP energy: -3.950 eV per atom
- Energy above the most stable polymorph in this dataset: 0 meV per atom

Cell: 4.501 4.501 4.501 Å, 90.00 90.00 90.00°
Sites, in units of the cell vectors:
Na: 0.500 0.500 0.500
As: 0.000 0.500 0.000
As: 0.000 0.000 0.500
As: 0.500 0.000 0.000
O: 0.000 0.000 0.000



(2)
## BaLaP2 (PBE-GGA)

Data for crystalline BaLaP2 at its relaxed geometry.

Calculated values
- D(E_F): 1.083 states/eV per atom
- V: 124 Å³ per cell
- VASP energy: -5.425 eV per atom
- ΔE_f: -4.03 eV/f.u.
- Energy above the most stable polymorph in this dataset: 86 meV per atom

Cell: 6.294 4.431 4.433 Å, 89.98 90.00 90.00°
Sites, in units of the cell vectors:
Ba: 0.000 0.375 0.375
La: 0.500 0.875 0.875
P: 0.000 0.875 0.875
P: 0.500 0.375 0.375



(3)
## MgNbAg2Pb (PBE-GGA)

Data for crystalline MgNbAg2Pb at its relaxed geometry.

Calculated values
- D(E_F): 1.233 states/eV per atom
- V: 146 Å³ per cell
- VASP energy: -2.946 eV per atom
- ΔE_f: 6.34 eV/f.u.

Cell: 5.268 5.254 5.268 Å, 90.00 90.00 90.00°
Last column: magnetic moment on the atom in μB.
Sites, in units of the cell vectors:
Pb: 0.000 0.000 0.000  -0.01
Nb: 0.500 0.500 0.500  2.86
Mg: 0.000 0.500 0.000  0.01
Ag: 0.000 0.000 0.500  0.03
Ag: 0.500 0.000 0.000  0.01



(4)
## DyInHgPt (PBE-GGA)

Data for crystalline DyInHgPt at its relaxed geometry.

Calculated values
- D(E_F): 0.420 states/eV per atom
- V: 86 Å³ per cell
- VASP energy: -4.045 eV per atom
- ΔE_f: -2.50 eV/f.u.

Cell: 4.950 4.950 4.950 Å, 60.00 60.00 60.00°
Sites, in units of the cell vectors:
In: 0.750 0.750 0.750
Hg: 0.000 0.000 0.000
Pt: 0.500 0.500 0.500
Dy: 0.250 0.250 0.250



(5)
## VFeSb2Te (PBE-GGA)

Data for crystalline VFeSb2Te at its relaxed geometry.

Calculated values
- Formation energy without anion corrections: 680 meV/atom
- D(E_F): 0.529 states/eV per atom
- V: 125 Å³ per cell
- VASP energy: -5.113 eV per atom
- Energy above the most stable polymorph in this dataset: 0 meV per atom

Cell: 4.732 4.732 5.579 Å, 90.00 90.00 90.00°
Last column: magnetic moment on the atom in μB.
Sites, in units of the cell vectors:
Sb: 0.000 0.500 0.000  -0.02
Sb: 0.500 0.000 0.000  -0.02
Te: 0.000 0.000 0.500  -0.10
Fe: 0.000 0.000 0.000  0.09
V: 0.500 0.500 0.500  2.93



(6)
## U3Tl4Te8Rh (PBE-GGA)

Data for crystalline U3Tl4Te8Rh at its relaxed geometry.

Calculated values
- Formation energy without anion corrections: -429 meV/atom
- D(E_F): 1.241 states/eV per atom
- V: 527 Å³ per cell
- VASP energy: -5.168 eV per atom

Cell: 8.495 9.752 8.493 Å, 115.76 120.01 90.00°
Last column: magnetic moment on the atom in μB.
Sites, in units of the cell vectors:
U: 0.500 0.500 0.000  2.47
U: 0.500 0.500 0.500  2.46
U: 0.000 0.500 0.500  2.46
Tl: 0.500 0.000 0.000  0.01
Tl: 0.500 0.000 0.500  -0.01
Tl: 0.000 0.000 0.000  -0.01
Tl: 0.000 0.000 0.500  -0.01
Te: 0.222 0.703 0.981  -0.05
Te: 0.223 0.704 0.446  -0.05
Te: 0.259 0.278 0.519  -0.06
Te: 0.759 0.703 0.981  -0.05
Te: 0.241 0.297 0.019  -0.05
Te: 0.741 0.722 0.481  -0.06
Te: 0.777 0.296 0.554  -0.05
Te: 0.778 0.297 0.019  -0.05
Rh: 0.000 0.500 0.000  0.20



(7)
## TaTl2CuSe4 (PBE-GGA)

Data for crystalline TaTl2CuSe4 at its relaxed geometry.

Calculated values
- Formation energy without anion corrections: -564 meV/atom
- D(E_F): 0.000 states/eV per atom
- V: 482 Å³ per cell
- VASP energy: -4.891 eV per atom

Cell: 5.771 7.558 12.296 Å, 84.86 76.43 67.56°
Sites, in units of the cell vectors:
Ta: 0.750 0.500 0.500
Ta: 0.000 0.000 0.000
Tl: 0.175 0.000 0.650
Tl: 0.825 0.000 0.350
Tl: 0.575 0.500 0.850
Tl: 0.925 0.500 0.150
Cu: 0.250 0.500 0.500
Cu: 0.500 0.000 0.000
Se: 0.283 0.799 0.117
Se: 0.200 0.201 0.883
Se: 0.918 0.799 0.883
Se: 0.600 0.201 0.117
Se: 0.467 0.701 0.383
Se: 0.550 0.299 0.617
Se: 0.832 0.701 0.617
Se: 0.150 0.299 0.383



(8)
## SbMo3As (PBE-GGA)

Data for crystalline SbMo3As at its relaxed geometry.

Calculated values
- Formation energy without anion corrections: 2069 meV/atom
- D(E_F): 1.587 states/eV per atom
- V: 119 Å³ per cell
- VASP energy: -6.184 eV per atom
- Energy above the most stable polymorph in this dataset: 1036 meV per atom

Cell: 4.917 4.917 4.917 Å, 90.00 90.00 90.00°
Last column: magnetic moment on the atom in μB.
Sites, in units of the cell vectors:
Sb: 0.000 0.000 0.000  -0.01
Mo: 0.000 0.500 0.000  0.24
Mo: 0.000 0.000 0.500  0.51
Mo: 0.500 0.000 0.000  0.25
As: 0.500 0.500 0.500  -0.02



(9)
## TaCd2P (PBE-GGA)

Data for crystalline TaCd2P at its relaxed geometry.

Calculated values
- D(E_F): 0.806 states/eV per atom
- V: 77 Å³ per cell
- VASP energy: -4.380 eV per atom
- ΔE_f: 1.57 eV/f.u.

Cell: 3.825 3.825 5.249 Å, 90.00 90.00 90.00°
Sites, in units of the cell vectors:
Ta: 0.500 0.500 0.500
Cd: 0.000 0.000 0.749
Cd: 0.000 0.000 0.251
P: 0.500 0.500 0.000



(10)
## Sc2TaIr (PBE-GGA)

Data for crystalline Sc2TaIr at its relaxed geometry.

Calculated values
- D(E_F): 1.449 states/eV per atom
- V: 74 Å³ per cell
- VASP energy: -8.533 eV per atom
- ΔE_f: -0.76 eV/f.u.
- Energy above the most stable polymorph in this dataset: 211 meV per atom

Cell: 5.455 5.455 5.455 Å, 137.30 137.30 61.98°
Sites, in units of the cell vectors:
Ir: 0.750 0.250 0.500
Sc: 0.000 0.000 0.000
Sc: 0.500 0.500 0.000
Ta: 0.250 0.750 0.500



(11)
## Nd2Dy2Y (PBE-GGA)

Data for crystalline Nd2Dy2Y at its relaxed geometry.

Calculated values
- D(E_F): 1.089 states/eV per atom
- V: 348 Å³ per cell
- VASP energy: -4.805 eV per atom
- ΔE_f: 1.18 eV/f.u.
- Energy above the most stable polymorph in this dataset: 217 meV per atom

Cell: 9.290 9.290 6.427 Å, 123.18 123.18 90.75°
Sites, in units of the cell vectors:
Nd: 0.316 0.684 0.250
Nd: 0.801 0.199 0.250
Nd: 0.199 0.801 0.750
Nd: 0.684 0.316 0.750
Dy: 0.730 0.614 0.420
Dy: 0.386 0.270 0.080
Dy: 0.614 0.730 0.920
Dy: 0.270 0.386 0.580
Y: 0.064 0.936 0.250
Y: 0.936 0.064 0.750



(12)
## BaSr2Br (PBE-GGA)

Data for crystalline BaSr2Br at its relaxed geometry.

Calculated values
- Formation energy without anion corrections: -365 meV/atom
- D(E_F): 0.882 states/eV per atom
- V: 203 Å³ per cell
- VASP energy: -2.105 eV per atom
- Energy above the most stable polymorph in this dataset: 370 meV per atom

Cell: 6.781 6.781 4.404 Å, 90.00 90.00 90.00°
Sites, in units of the cell vectors:
Sr: 0.000 0.000 0.000
Sr: 0.500 0.500 0.000
Ba: 0.500 0.000 0.500
Br: 0.000 0.500 0.500